No. 1
PBE EuScGeAu, relaxed; calculated total energy = -6.784 eV per atom; DFT formation energy = -0.659 eV per atom
1.0
5.039 0.000 0.000
2.519 4.364 0.000
2.519 1.455 4.114
Eu Sc Ge Au
1 1 1 1
direct
0.000 0.000 0.000 Eu
0.500 0.500 0.500 Sc
0.250 0.250 0.250 Ge
0.750 0.750 0.750 Au



No. 2
PBE K2Zn2Te3, relaxed; calculated total energy = -2.758 eV per atom
1.0
7.107 0.071 2.692
3.498 11.239 1.405
-0.347 0.118 11.849
K Zn Te
8 8 12
direct
0.868 0.020 0.196 K
0.368 0.196 0.020 K
0.750 0.287 0.713 K
0.750 0.564 0.436 K
0.250 0.436 0.564 K
0.250 0.713 0.287 K
0.632 0.804 0.980 K
0.132 0.980 0.804 K
0.650 0.350 0.198 Zn
0.621 0.080 0.535 Zn
0.150 0.198 0.350 Zn
0.121 0.535 0.080 Zn
0.879 0.465 0.920 Zn
0.850 0.802 0.650 Zn
0.379 0.920 0.465 Zn
0.350 0.650 0.802 Zn
0.754 0.257 0.403 Te
0.734 0.557 0.147 Te
0.254 0.403 0.257 Te
0.234 0.147 0.557 Te
0.852 0.244 0.986 Te
0.148 0.756 0.014 Te
0.766 0.853 0.443 Te
0.746 0.597 0.743 Te
0.352 0.986 0.244 Te
0.266 0.443 0.853 Te
0.246 0.743 0.597 Te
0.648 0.014 0.756 Te



No. 3
PBE LiTe, relaxed; energy above the lowest structure with this stoichiometry = 143 meV/atom; calculated total energy = -3.107 eV per atom
1.0
-2.832 6.689 5.654
-8.739 -2.556 -1.354
0.381 -3.760 4.639
Li Te
8 8
direct
0.836 0.602 0.000 Li
0.336 0.898 0.500 Li
0.664 0.102 0.500 Li
0.164 0.398 0.000 Li
0.898 0.664 0.500 Li
0.398 0.836 0.000 Li
0.602 0.164 0.000 Li
0.102 0.336 0.500 Li
0.693 0.866 0.000 Te
0.193 0.634 0.500 Te
0.807 0.366 0.500 Te
0.307 0.134 0.000 Te
0.634 0.807 0.500 Te
0.134 0.693 0.000 Te
0.866 0.307 0.000 Te
0.366 0.193 0.500 Te



No. 4
PBE BeTeRu2, relaxed; energy above the lowest structure with this stoichiometry = 215 meV/atom; calculated total energy = -6.108 eV per atom
1.0
5.702 0.442 -0.097
3.306 4.666 0.097
-4.238 -3.023 2.369
Ru Te Be
2 1 1
direct
0.948 0.948 0.000 Ru
0.226 0.726 0.500 Ru
0.547 0.547 0.000 Te
0.779 0.279 0.500 Be



No. 5
PBE YAl3Rh4, relaxed; calculated total energy = -6.859 eV per atom; DFT formation energy = -0.972 eV per atom
1.0
-1.443 3.659 1.888
1.148 0.937 4.103
5.874 5.179 -0.506
Y Rh Al
1 4 3
direct
0.000 0.000 0.000 Y
0.870 0.870 0.389 Rh
0.388 0.388 0.837 Rh
0.130 0.130 0.611 Rh
0.612 0.612 0.163 Rh
0.244 0.244 0.267 Al
0.756 0.756 0.733 Al
0.500 0.500 0.500 Al



No. 6
PBE YMnIn4, relaxed; calculated total energy = -4.291 eV per atom; DFT formation energy = 0.140 eV per atom
1.0
0.000 4.204 4.204
4.204 0.000 4.204
4.204 4.204 0.000
Y Mn In
1 1 4
direct
0.000 0.000 0.000 Y
0.750 0.750 0.750 Mn
0.875 0.375 0.375 In
0.375 0.375 0.875 In
0.375 0.875 0.375 In
0.375 0.375 0.375 In



No. 7
PBE MgCo2SbIr, relaxed; calculated total energy = -4.166 eV per atom
1.0
-1.106 -1.262 -3.920
4.809 -0.464 -1.207
-0.059 -4.054 1.322
Sb Mg Ir Co
1 1 1 2
direct
0.000 0.500 0.000 Sb
0.000 0.000 0.000 Mg
0.500 0.500 0.500 Ir
0.000 0.000 0.500 Co
0.500 0.000 0.000 Co



No. 8
PBE TlRuW2, relaxed; energy above the lowest structure with this stoichiometry = 285 meV/atom; calculated total energy = -8.614 eV per atom; DFT formation energy = 0.773 eV per atom
1.0
-1.814 -1.211 4.602
4.474 -2.120 -1.196
1.375 2.256 1.137
Ru Tl W
1 1 2
direct
0.500 0.000 0.500 Ru
0.000 0.500 0.500 Tl
0.000 0.000 0.000 W
0.500 0.500 0.000 W



No. 9
PBE TmPaN2, relaxed; calculated total energy = -9.117 eV per atom
1.0
3.373 0.000 0.000
1.687 2.921 0.000
1.687 0.974 5.954
Tm Pa N
1 1 2
direct
0.673 0.673 0.982 Tm
0.498 0.498 0.507 Pa
0.080 0.080 0.760 N
0.250 0.250 0.251 N



No. 10
PBE NaCd2Ga, relaxed; calculated total energy = -1.452 eV per atom; DFT formation energy = 0.092 eV per atom
1.0
-0.586 0.586 -4.281
-1.390 -4.116 -0.374
-10.808 1.389 -0.553
Na Ga Cd
2 2 4
direct
0.500 0.500 0.000 Na
0.250 0.750 0.500 Na
0.000 0.000 0.000 Ga
0.750 0.250 0.500 Ga
0.637 0.125 0.250 Cd
0.113 0.625 0.250 Cd
0.375 0.363 0.750 Cd
0.875 0.887 0.750 Cd



No. 11
PBE LaNbSe3, relaxed; energy above the lowest structure with this stoichiometry = 1598 meV/atom; calculated total energy = -4.825 eV per atom
1.0
-0.761 2.905 4.784
-5.309 -1.902 0.310
1.770 -4.455 2.987
Nb Se La
1 3 1
direct
0.500 0.500 0.500 Nb
0.000 0.500 0.000 Se
0.000 0.000 0.500 Se
0.500 0.000 0.000 Se
0.000 0.000 0.000 La



No. 12
PBE RbTl2GaRu, relaxed; calculated total energy = -3.637 eV per atom; DFT formation energy = -0.037 eV per atom
1.0
-3.952 0.328 -3.620
-0.614 -5.331 0.187
-3.306 0.509 3.656
Ru Tl Ga Rb
1 2 1 1
direct
0.000 0.000 0.000 Ru
0.000 0.500 0.000 Tl
0.500 0.000 0.000 Tl
0.000 0.000 0.500 Ga
0.500 0.500 0.500 Rb